[1]
DFT (PBEsol) results for a geometry-optimized Al2CoMo structure.

Lattice parameters (Å, degrees): 2.7570 2.7570 24.9098 90.00 90.00 120.00
Space group R-3m (No. 166, hexagonal axes)
One atom of each set of equivalent atoms:
Al  0.0000  0.0000  0.2420 x6
Co  0.0000  0.0000  0.5000 x3
Mo  0.0000  0.0000  0.0000 x3

Results
The calculation puts the energy above the lowest structure with this stoichiometry at 70 meV/atom. The calculation puts the density of states at the Fermi level at 0.9197 states/eV/atom. As for the energy of formation: -0.1082 eV per atom.

***

[2]
DFT (PBEsol) results for a geometry-optimized Al3CoN structure.

Lattice parameters (Å, degrees): 3.874 3.874 3.874 90.00 90.00 90.00
Space group Pm-3m (No. 221)
One atom of each set of equivalent atoms:
Al  0.000  0.000  0.500 x3
Co  0.500  0.500  0.500 x1
N  0.000  0.000  0.000 x1

Results
Its uncorrected formation energy is -0.2182 eV per atom. The calculation puts the density of states at the Fermi level at 0.4188 states/eV/atom.

***

[3]
DFT (PBEsol) results for a geometry-optimized AlCoN2 structure.

Lattice parameters (Å, degrees): 2.8264 2.8264 17.2224 90.00 90.00 120.00
Space group R-3m (No. 166, hexagonal axes)
One atom of each set of equivalent atoms:
Al  0.0000  0.0000  0.0000 x3
Co  0.0000  0.0000  0.5000 x3
N  0.0000  0.0000  0.1085 x6

Results
Its uncorrected formation energy is 0.0970 eV per atom. The calculation puts the density of states at the Fermi level at 0.8522 states/eV/atom.

***

[4]
DFT (PBEsol) results for a geometry-optimized AlCoS2N structure.

Lattice parameters (Å, degrees): 4.657 4.657 3.567 90.00 90.00 90.00
Space group P4/mmm (No. 123)
One atom of each set of equivalent atoms:
Al  0.000  0.000  0.000 x1
Co  0.500  0.500  0.500 x1
S  0.000  0.500  0.000 x2
N  0.000  0.000  0.500 x1

Results
Its uncorrected formation energy is 0.6325 eV per atom. The calculation puts the density of states at the Fermi level at 1.2810 states/eV/atom.

***

[5]
DFT (PBEsol) results for a geometry-optimized AlCoSN2 structure.

Lattice parameters (Å, degrees): 3.577 3.577 5.096 90.00 90.00 90.00
Space group P4/mmm (No. 123)
One atom of each set of equivalent atoms:
Al  0.000  0.000  0.000 x1
Co  0.500  0.500  0.500 x1
S  0.000  0.000  0.500 x1
N  0.000  0.500  0.000 x2

Results
Its uncorrected formation energy is 0.8658 eV per atom. The calculation puts the density of states at the Fermi level at 1.2520 states/eV/atom.

***

[6]
DFT (PBEsol) results for a geometry-optimized Na2Al2Co structure.

Lattice parameters (Å, degrees): 3.386 3.386 15.429 90.00 90.00 90.00
Space group I4/mmm (No. 139)
One atom of each set of equivalent atoms:
Na  0.000  0.500  0.250 x4
Al  0.000  0.000  0.082 x4
Co  0.000  0.000  0.500 x2

Results
The calculation puts the density of states at the Fermi level at 0.5747 states/eV/atom. As for the energy of formation: 0.5790 eV per atom.

***

[7]
DFT (PBEsol) results for a geometry-optimized Na2AlCoPb structure.

Lattice parameters (Å, degrees): 5.745 5.745 5.219 90.00 90.00 90.00
Space group P4/mmm (No. 123)
One atom of each set of equivalent atoms:
Na  0.000  0.500  0.000 x2
Al  0.000  0.000  0.500 x1
Co  0.500  0.500  0.500 x1
Pb  0.000  0.000  0.000 x1

Results
The calculation puts the density of states at the Fermi level at 1.3973 states/eV/atom. As for the energy of formation: 1.1742 eV per atom.

***

[8]
DFT (PBEsol) results for a geometry-optimized NbAl2Co2 structure.

Lattice parameters (Å, degrees): 6.929 6.929 2.714 90.00 90.00 90.00
Space group P4/mbm (No. 127)
One atom of each set of equivalent atoms:
Nb  0.000  0.000  0.000 x2
Al  0.154  0.346  0.500 x4
Co  0.139  0.639  0.000 x4

Results
The calculation puts the density of states at the Fermi level at 1.2299 states/eV/atom. As for the energy of formation: -0.3034 eV per atom.

***

[9]
DFT (PBEsol) results for a geometry-optimized NbAlCo2 structure.

Lattice parameters (Å, degrees): 5.901 5.901 5.901 90.00 90.00 90.00
Space group Fm-3m (No. 225)
One atom of each set of equivalent atoms:
Nb  0.000  0.000  0.000 x4
Al  0.000  0.000  0.500 x4
Co  0.250  0.250  0.250 x8

Results
The calculation puts the density of states at the Fermi level at 0.3654 states/eV/atom. As for the energy of formation: -0.4134 eV per atom.

***

[10]
DFT (PBEsol) results for a geometry-optimized AlCo2Ni structure.

Lattice parameters (Å, degrees): 8.207 2.585 4.217 90.00 102.38 90.00
Space group Cm (No. 8)
One atom of each set of equivalent atoms:
Al  0.000  0.000  0.000 x2
Co  0.002  0.500  0.504 x2
Co  0.247  0.000  0.720 x2
Ni  0.251  0.500  0.237 x2

Results
The calculation puts the density of states at the Fermi level at 1.1907 states/eV/atom. As for the energy of formation: -0.2176 eV per atom.

***

[11]
DFT (PBEsol) results for a geometry-optimized AlCoNi structure.

Lattice parameters (Å, degrees): 5.381 5.381 5.381 90.00 90.00 90.00
Space group F-43m (No. 216)
One atom of each set of equivalent atoms:
Al  0.000  0.000  0.000 x4
Co  0.250  0.250  0.750 x4
Ni  0.250  0.250  0.250 x4

Results
The calculation puts the energy above the lowest structure with this stoichiometry at 484 meV/atom. The calculation puts the density of states at the Fermi level at 1.0809 states/eV/atom. As for the energy of formation: 0.1823 eV per atom.

***

[12]
DFT (PBEsol) results for a geometry-optimized AlCo2Ni structure.

Lattice parameters (Å, degrees): 2.5534 2.5534 23.5645 90.00 90.00 120.00
Space group R-3m (No. 166, hexagonal axes)
One atom of each set of equivalent atoms:
Al  0.0000  0.0000  0.0000 x3
Co  0.0000  0.0000  0.2492 x6
Ni  0.0000  0.0000  0.5000 x3

Results
The calculation puts the density of states at the Fermi level at 1.2413 states/eV/atom. As for the energy of formation: -0.0372 eV per atom.

***

> Which formula does entry 1 have?

Al2CoMo

***

> What is the formula in the twelfth record?

AlCo2Ni